# NaTl2VI6

A geometry-optimized NaTl2VI6 structure (PBE, Alexandria via LeMat-Bulk).

a b c (Å): 8.269 8.271 8.271
angles (deg): 60.00 60.01 60.00
Each line ends with the local moment (μB).
Element x y z (fractional)
1 Na 0.817 0.818 0.547  0.00
2 Tl 0.539 0.539 0.383  0.00
3 Tl 0.026 0.026 0.921  -0.01
4 V 0.324 0.324 0.027  2.01
5 I 0.551 0.180 0.262  -0.03
6 I 0.180 0.007 0.262  -0.03
7 I 0.007 0.551 0.262  -0.03
8 I 0.460 0.648 0.784  -0.04
9 I 0.648 0.108 0.784  -0.04
10 I 0.108 0.460 0.784  -0.04

Calculated values
Volume = 40.002 A^3/atom
Space-group type = R3
Magnetic moment = 0.200 μB per atom
Formation energy (no corrections) = -651 meV per atom